Record 1
# MnAlCo2 | Alexandria | GGA-PBE | optimized geometry
# Fermi-level density of states = 1.036 states/eV/atom
# Energy of formation from the pure elements = -0.10 eV per atom
data_MnAlCo2
_chemical_formula_sum 'Mn2 Al2 Co4'
_cell_length_a 5.045
_cell_length_b 8.012
_cell_length_c 2.570
_cell_angle_alpha 90.00
_cell_angle_beta 112.44
_cell_angle_gamma 90.00
_symmetry_space_group_name_H-M 'C 1 2/m 1'
_symmetry_Int_Tables_number 12
loop_
_symmetry_equiv_pos_as_xyz
'x,y,z'
'-x,-y,-z'
'-x,y,-z'
'x,-y,z'
'x+1/2,y+1/2,z'
'-x+1/2,-y+1/2,-z'
'-x+1/2,y+1/2,-z'
'x+1/2,-y+1/2,z'
loop_
_atom_site_label
_atom_site_fract_x
_atom_site_fract_y
_atom_site_fract_z
Mn1 0.000 0.000 0.000
Al1 0.000 0.500 0.000
Co1 0.250 0.250 0.500


Record 2
# Mn2Al2Co | Alexandria | GGA-PBE | optimized geometry
# Fermi-level density of states = 0.645 states/eV/atom
# Energy above the most stable polymorph in this dataset = 0.12 eV per formula unit
# Energy of formation from the pure elements = 0.02 eV per atom
data_Mn2Al2Co
_chemical_formula_sum 'Mn4 Al4 Co2'
_cell_length_a 5.872
_cell_length_b 5.872
_cell_length_c 3.866
_cell_angle_alpha 90.00
_cell_angle_beta 90.00
_cell_angle_gamma 90.00
_symmetry_space_group_name_H-M 'P 4/m b m'
_symmetry_Int_Tables_number 127
_symmetry_space_group_name_Hall '-P 4 2ab'
loop_
_atom_site_label
_atom_site_fract_x
_atom_site_fract_y
_atom_site_fract_z
Mn1 0.131 0.369 0.000
Al1 0.173 0.673 0.500
Co1 0.000 0.000 0.000


Record 3
# Mn3Al4Co | Alexandria | GGA-PBE | optimized geometry
# Fermi-level density of states = 0.466 states/eV/atom
# Energy of formation from the pure elements = -0.35 eV per atom
data_Mn3Al4Co
_chemical_formula_sum 'Mn3 Al4 Co1'
_cell_length_a 2.784
_cell_length_b 2.784
_cell_length_c 13.238
_cell_angle_alpha 90.00
_cell_angle_beta 90.00
_cell_angle_gamma 90.00
_symmetry_space_group_name_H-M 'P 4/m m m'
_symmetry_Int_Tables_number 123
_symmetry_space_group_name_Hall '-P 4 2'
loop_
_atom_site_label
_atom_site_fract_x
_atom_site_fract_y
_atom_site_fract_z
Mn1 0.000 0.000 0.000
Mn2 0.000 0.000 0.261
Al1 0.500 0.500 0.130
Al2 0.500 0.500 0.389
Co1 0.000 0.000 0.500


Record 4
# Mn2AlCo2 | Alexandria | GGA-PBE | optimized geometry
# Fermi-level density of states = 1.317 states/eV/atom
# Energy of formation from the pure elements = 0.04 eV per atom
data_Mn2AlCo2
_chemical_formula_sum 'Mn4 Al2 Co4'
_cell_length_a 6.662
_cell_length_b 6.662
_cell_length_c 2.750
_cell_angle_alpha 90.00
_cell_angle_beta 90.00
_cell_angle_gamma 90.00
_symmetry_space_group_name_H-M 'P 4/m b m'
_symmetry_Int_Tables_number 127
_symmetry_space_group_name_Hall '-P 4 2ab'
loop_
_atom_site_label
_atom_site_fract_x
_atom_site_fract_y
_atom_site_fract_z
Mn1 0.167 0.333 0.000
Al1 0.000 0.000 0.500
Co1 0.129 0.629 0.500


Record 5
# Mn2Al2Co | Alexandria | GGA-PBE | optimized geometry
# Fermi-level density of states = 0.483 states/eV/atom
# Energy above the most stable polymorph in this dataset = 0.00 eV per formula unit
# Energy of formation from the pure elements = 0.00 eV per atom
data_Mn2Al2Co
_chemical_formula_sum 'Mn4 Al4 Co2'
_cell_length_a 6.428
_cell_length_b 6.428
_cell_length_c 3.301
_cell_angle_alpha 90.00
_cell_angle_beta 90.00
_cell_angle_gamma 90.00
_symmetry_space_group_name_H-M 'P 4/m b m'
_symmetry_Int_Tables_number 127
_symmetry_space_group_name_Hall '-P 4 2ab'
loop_
_atom_site_label
_atom_site_fract_x
_atom_site_fract_y
_atom_site_fract_z
Mn1 0.158 0.342 0.000
Al1 0.143 0.643 0.500
Co1 0.000 0.000 0.500


Record 6
# Mn2Al2Co | Alexandria | GGA-PBE | optimized geometry
# Fermi-level density of states = 1.168 states/eV/atom
# Energy above the most stable polymorph in this dataset = 2.76 eV per formula unit
# Energy of formation from the pure elements = 0.55 eV per atom
data_Mn2Al2Co
_chemical_formula_sum 'Mn4 Al4 Co2'
_cell_length_a 4.529
_cell_length_b 4.529
_cell_length_c 6.903
_cell_angle_alpha 90.00
_cell_angle_beta 90.00
_cell_angle_gamma 90.00
_symmetry_space_group_name_H-M 'I 4/m m m'
_symmetry_Int_Tables_number 139
_symmetry_space_group_name_Hall '-I 4 2'
loop_
_atom_site_label
_atom_site_fract_x
_atom_site_fract_y
_atom_site_fract_z
Mn1 0.000 0.000 0.144
Al1 0.000 0.500 0.250
Co1 0.000 0.000 0.500


Record 7
# MnAlCo | Alexandria | GGA-PBE | optimized geometry
# Fermi-level density of states = 0.800 states/eV/atom
# Energy of formation from the pure elements = -0.22 eV per atom
data_MnAlCo
_chemical_formula_sum 'Mn2 Al2 Co2'
_cell_length_a 2.643
_cell_length_b 2.643
_cell_length_c 10.040
_cell_angle_alpha 90.00
_cell_angle_beta 90.00
_cell_angle_gamma 90.00
_symmetry_space_group_name_H-M 'I 4 m m'
_symmetry_Int_Tables_number 107
_symmetry_space_group_name_Hall 'I 4 -2'
loop_
_atom_site_label
_atom_site_fract_x
_atom_site_fract_y
_atom_site_fract_z
Mn1 0.000 0.000 0.000
Al1 0.000 0.000 0.320
Co1 0.000 0.000 0.652


Record 8
# MnAlCo2 | Alexandria | GGA-PBE | optimized geometry
# Fermi-level density of states = 1.096 states/eV/atom
# Energy of formation from the pure elements = -0.18 eV per atom
data_MnAlCo2
_chemical_formula_sum 'Mn2 Al2 Co4'
_cell_length_a 3.519
_cell_length_b 3.519
_cell_length_c 7.521
_cell_angle_alpha 90.00
_cell_angle_beta 90.00
_cell_angle_gamma 90.00
_symmetry_space_group_name_H-M 'I -4 m 2'
_symmetry_Int_Tables_number 119
_symmetry_space_group_name_Hall 'I -4 -2'
loop_
_atom_site_label
_atom_site_fract_x
_atom_site_fract_y
_atom_site_fract_z
Mn1 0.000 0.000 0.000
Al1 0.000 0.500 0.750
Co1 0.000 0.000 0.500
Co2 0.000 0.500 0.250


Record 9
# MnAl4Co3 | Alexandria | GGA-PBE | optimized geometry
# Fermi-level density of states = 0.440 states/eV/atom
# Energy of formation from the pure elements = -0.52 eV per atom
data_MnAl4Co3
_chemical_formula_sum 'Mn1 Al4 Co3'
_cell_length_a 2.836
_cell_length_b 2.836
_cell_length_c 11.894
_cell_angle_alpha 90.00
_cell_angle_beta 90.00
_cell_angle_gamma 90.00
_symmetry_space_group_name_H-M 'P 4/m m m'
_symmetry_Int_Tables_number 123
_symmetry_space_group_name_Hall '-P 4 2'
loop_
_atom_site_label
_atom_site_fract_x
_atom_site_fract_y
_atom_site_fract_z
Mn1 0.000 0.000 0.000
Al1 0.500 0.500 0.137
Al2 0.500 0.500 0.379
Co1 0.000 0.000 0.258
Co2 0.000 0.000 0.500


Record 10
# MnAl5Co6 | Alexandria | GGA-PBE | optimized geometry
# Fermi-level density of states = 0.432 states/eV/atom
# Energy of formation from the pure elements = -0.51 eV per atom
data_MnAl5Co6
_chemical_formula_sum 'Mn2 Al10 Co12'
_cell_length_a 4.039
_cell_length_b 12.126
_cell_length_c 5.700
_cell_angle_alpha 90.00
_cell_angle_beta 90.00
_cell_angle_gamma 90.00
_symmetry_space_group_name_H-M 'C m m m'
_symmetry_Int_Tables_number 65
_symmetry_space_group_name_Hall '-C 2 2'
loop_
_atom_site_label
_atom_site_fract_x
_atom_site_fract_y
_atom_site_fract_z
Mn1 0.000 0.000 0.000
Al1 0.000 0.000 0.500
Al2 0.000 0.334 0.500
Al3 0.000 0.336 0.000
Co1 0.000 0.167 0.249
Co2 0.000 0.500 0.251


Record 11
# MnAlCo2 | Alexandria | GGA-PBE | optimized geometry
# Fermi-level density of states = 1.040 states/eV/atom
# Energy of formation from the pure elements = 0.01 eV per atom
data_MnAlCo2
_chemical_formula_sum 'Mn3 Al3 Co6'
_cell_length_a 2.5765
_cell_length_b 2.5765
_cell_length_c 24.2707
_cell_angle_alpha 90.00
_cell_angle_beta 90.00
_cell_angle_gamma 120.00
_symmetry_space_group_name_H-M 'R 3 m'
_symmetry_Int_Tables_number 160
_symmetry_space_group_name_Hall 'R 3 -2"'
loop_
_atom_site_label
_atom_site_fract_x
_atom_site_fract_y
_atom_site_fract_z
Mn1 0.0000 0.0000 0.0000
Al1 0.0000 0.0000 0.7536
Co1 0.0000 0.0000 0.2519
Co2 0.0000 0.0000 0.5040


Record 12
# MnAlCo2 | Alexandria | GGA-PBE | optimized geometry
# Fermi-level density of states = 0.552 states/eV/atom
# Energy of formation from the pure elements = -0.35 eV per atom
data_MnAlCo2
_chemical_formula_sum 'Mn4 Al4 Co8'
_cell_length_a 5.697
_cell_length_b 5.697
_cell_length_c 5.697
_cell_angle_alpha 90.00
_cell_angle_beta 90.00
_cell_angle_gamma 90.00
_symmetry_space_group_name_H-M 'F m -3 m'
_symmetry_Int_Tables_number 225
_symmetry_space_group_name_Hall '-F 4 2 3'
loop_
_atom_site_label
_atom_site_fract_x
_atom_site_fract_y
_atom_site_fract_z
Mn1 0.000 0.000 0.000
Al1 0.000 0.000 0.500
Co1 0.250 0.250 0.250